No. 1
TbVClO4: relaxed, PBE+U.

The structure belongs to space group C2/m (No. 12); the cell edges are 10.703, 7.075 and 6.729 Å and the angles 90.00°, 102.80° and 90.00°. The inequivalent atoms are Tb at (0.248, 0.000, 0.379), V at (0.134, 0.000, 0.773), Cl at (0.016, 0.500, 0.314), O at (0.032, 0.000, 0.274), O at (0.192, 0.187, 0.649) and O at (0.195, 0.000, 0.033).

Its total DFT energy (no corrections) is -49.02 eV per formula unit.

=====

No. 2
Tb3WCl2O6: relaxed, PBE+U.

The structure belongs to space group C2/m (No. 12); the cell edges are 11.621, 6.600 and 5.481 Å and the angles 90.00°, 100.17° and 90.00°. The inequivalent atoms are Tb at (0.000, 0.000, 0.000), Tb at (0.250, 0.250, 0.500), W at (0.000, 0.500, 0.500), Cl at (0.207, 0.000, 0.854), O at (0.060, 0.260, 0.299) and O at (0.166, 0.500, 0.667).

Its total DFT energy (no corrections) is -85.33 eV per formula unit.

=====

No. 3
TbWClO4: relaxed, PBE+U.

The structure belongs to space group C2/m (No. 12); the cell edges are 10.409, 7.379 and 6.988 Å and the angles 90.00°, 107.72° and 90.00°. The inequivalent atoms are Tb at (0.222, 0.000, 0.116), W at (0.137, 0.500, 0.267), Cl at (0.010, 0.000, 0.769), O at (0.045, 0.500, 0.806), O at (0.201, 0.309, 0.156) and O at (0.205, 0.500, 0.536).

Its total DFT energy (no corrections) is -50.73 eV per formula unit.